(1)
A relaxed structure of Ce8GaTc2. Source: Alexandria via LeMat-Bulk, functional GGA-PBE.

Structure (POSCAR):
```
Ce8GaTc2
1.0
5.672 0.000 0.000
-0.508 6.483 0.000
-2.543 -3.241 7.172
Ce Ga Tc
8 1 2
Direct
0.000 0.000 0.000 Ce
0.005 0.465 0.047 Ce
0.325 0.784 0.685 Ce
0.369 0.365 0.732 Ce
0.432 0.500 0.364 Ce
0.555 0.806 0.131 Ce
0.789 0.035 0.599 Ce
0.871 0.320 0.369 Ce
0.188 0.944 0.366 Ga
0.486 0.219 0.976 Tc
0.876 0.611 0.754 Tc
```

ΔE_f (eV per atom): -0.07
Spin magnetization (μB/f.u.): 2.634
Symmetry: P1 (1)
Total DFT energy (no corrections) (eV per atom): -6.550
D(E_F) (states/eV/cell): 28.77



(2)
A relaxed structure of Ce12Ga6Tc. Source: Alexandria via LeMat-Bulk, functional GGA-PBE.

Structure (POSCAR):
```
Ce12Ga6Tc
1.0
5.349 3.088 4.467
-5.349 3.088 4.467
0.000 -6.177 4.467
Ce Ga Tc
12 6 1
Direct
0.003 0.082 0.711 Ce
0.082 0.711 0.003 Ce
0.138 0.438 0.354 Ce
0.289 0.997 0.918 Ce
0.354 0.138 0.438 Ce
0.438 0.354 0.138 Ce
0.562 0.646 0.862 Ce
0.646 0.862 0.562 Ce
0.711 0.003 0.082 Ce
0.862 0.562 0.646 Ce
0.918 0.289 0.997 Ce
0.997 0.918 0.289 Ce
0.244 0.747 0.597 Ga
0.253 0.403 0.756 Ga
0.403 0.756 0.253 Ga
0.597 0.244 0.747 Ga
0.747 0.597 0.244 Ga
0.756 0.253 0.403 Ga
0.500 0.500 0.500 Tc
```

ΔE_f (eV per atom): -0.24
Spin magnetization (μB/f.u.): 1.226
Symmetry: R-3 (148)
Total DFT energy (no corrections) (eV per atom): -5.488
D(E_F) (states/eV/cell): 46.18



(3)
A relaxed structure of Ce2GaTc. Source: Alexandria via LeMat-Bulk, functional GGA-PBE.

Structure (POSCAR):
```
Ce2GaTc
1.0
3.603 0.000 0.000
0.000 3.603 0.000
0.000 0.000 6.820
Ce Ga Tc
2 1 1
Direct
0.000 0.000 0.231 Ce
0.000 0.000 0.769 Ce
0.500 0.500 0.500 Ga
0.500 0.500 0.000 Tc
```

ΔE_f (eV per atom): -0.24
Spin magnetization (μB/f.u.): 0.000
Symmetry: P4/mmm (123)
Total DFT energy (no corrections) (eV per atom): -6.557
D(E_F) (states/eV/cell): 4.09



(4)
A relaxed structure of Ce2Ga8Tc. Source: Alexandria via LeMat-Bulk, functional GGA-PBE.

Structure (POSCAR):
```
Ce2Ga8Tc
1.0
4.375 0.000 0.000
0.000 4.375 0.000
0.000 0.000 11.352
Ce Ga Tc
2 8 1
Direct
0.000 0.000 0.193 Ce
0.000 0.000 0.807 Ce
0.000 0.500 0.000 Ga
0.000 0.500 0.380 Ga
0.000 0.500 0.620 Ga
0.500 0.000 0.000 Ga
0.500 0.000 0.380 Ga
0.500 0.000 0.620 Ga
0.500 0.500 0.190 Ga
0.500 0.500 0.810 Ga
0.000 0.000 0.500 Tc
```

ΔE_f (eV per atom): -0.42
Spin magnetization (μB/f.u.): 0.466
Symmetry: P4/mmm (123)
Total DFT energy (no corrections) (eV per atom): -4.643
D(E_F) (states/eV/cell): 12.13



(5)
A relaxed structure of CeGa3Tc. Source: Alexandria via LeMat-Bulk, functional GGA-PBE.

Structure (POSCAR):
```
CeGa3Tc
1.0
2.688 1.552 3.844
-2.688 1.552 3.844
0.000 -3.104 3.844
Ce Ga Tc
1 3 1
Direct
0.000 0.000 0.000 Ce
0.119 0.613 0.613 Ga
0.613 0.119 0.613 Ga
0.613 0.613 0.119 Ga
0.257 0.257 0.257 Tc
```

ΔE_f (eV per atom): -0.14
Spin magnetization (μB/f.u.): 0.106
Symmetry: R3m (160)
Total DFT energy (no corrections) (eV per atom): -5.215
D(E_F) (states/eV/cell): 1.92



(6)
A relaxed structure of CeGa2Tc. Source: Alexandria via LeMat-Bulk, functional GGA-PBE.

Structure (POSCAR):
```
CeGa2Tc
1.0
3.252 0.000 0.000
0.000 3.252 0.000
0.000 0.000 6.894
Ce Ga Tc
1 2 1
Direct
0.000 0.000 0.000 Ce
0.500 0.500 0.308 Ga
0.500 0.500 0.692 Ga
0.000 0.000 0.500 Tc
```

ΔE_f (eV per atom): -0.31
Spin magnetization (μB/f.u.): 0.294
Symmetry: P4/mmm (123)
Total DFT energy (no corrections) (eV per atom): -5.901
D(E_F) (states/eV/cell): 4.43